1.
Material: FePIr
Method: DFT, SCAN
State: PBEsol geometry

Total magnetization ... 1.3 μB per formula unit
Space group ... F-43m (216)
DFT formation energy ... -34 kJ per mole of atoms
Electronic total energy ... -33.56 eV/atom

Cell: 3.7930 3.7930 3.7930 Å, 60.00 60.00 60.00°
Each line ends with the local moment (μB).
Positions (direct):
Fe 0.0000 0.0000 0.0000  1.51
P 0.2500 0.2500 0.2500  -0.07
Ir 0.5000 0.5000 0.5000  -0.09

=====

2.
Material: Fe2PIr
Method: DFT, SCAN
State: PBEsol geometry

Total magnetization ... 5.8 μB per formula unit
Space group ... F-43m (216)
DFT formation energy ... -14 kJ per mole of atoms
Electronic total energy ... -29.58 eV/atom

Cell: 4.0562 4.0562 4.0562 Å, 60.00 60.00 60.00°
Each line ends with the local moment (μB).
Positions (direct):
Ir 0.5000 0.5000 0.5000  0.46
P 0.2500 0.2500 0.2500  0.05
Fe 0.7500 0.7500 0.7500  3.06
Fe 0.0000 0.0000 0.0000  2.29

=====

3.
Material: FePIr
Method: DFT, SCAN
State: PBEsol geometry

Total magnetization ... 2.3 μB per formula unit
Space group ... P3m1 (156)
DFT formation energy ... -12 kJ per mole of atoms
Electronic total energy ... -33.34 eV/atom

Cell: 2.8132 3.9103 3.9103 Å, 120.00 90.00 90.00°
Each line ends with the local moment (μB).
Positions (direct):
Ir 0.5675 0.6667 0.3333  0.05
Fe 0.0813 0.0000 0.0000  2.45
P 0.3513 0.3333 0.6667  -0.10

=====

4.
Material: Fe2PIr2
Method: DFT, SCAN
State: PBEsol geometry

Total magnetization ... 4.6 μB per formula unit
Space group ... I4/mmm (139)
DFT formation energy ... 30 kJ per mole of atoms
Electronic total energy ... -37.46 eV/atom

Cell: 3.1193 3.1193 7.0500 Å, 102.78 102.78 90.00°
Each line ends with the local moment (μB).
Positions (direct):
Fe 0.2500 0.7500 0.5000  2.27
Fe 0.7500 0.2500 0.5000  2.27
Ir 0.5991 0.5991 0.1983  0.09
Ir 0.4009 0.4009 0.8017  0.09
P 0.0000 0.0000 0.0000  -0.05

=====

5.
Material: Fe2PIr
Method: DFT, SCAN
State: PBEsol geometry

Total magnetization ... 5.6 μB per formula unit
Space group ... Pmmm (47)
DFT formation energy ... 2 kJ per mole of atoms
Electronic total energy ... -29.42 eV/atom

Cell: 2.6295 3.4441 4.9679 Å, 90.00 90.00 90.00°
Each line ends with the local moment (μB).
Positions (direct):
P 0.5000 0.5000 0.5000  -0.01
Fe 0.0000 0.0000 0.2653  2.66
Fe 0.0000 0.0000 0.7347  2.66
Ir 0.5000 0.5000 0.0000  0.35

=====

6.
Material: FePIrS2
Method: DFT, SCAN
State: PBEsol geometry

Energy relative to the elements, uncorrected ... 0.8429 eV/atom
Total magnetization ... 3.7 μB per formula unit
Space group ... P4/mmm (123)
Electronic total energy ... -22.93 eV/atom

Cell: 4.3336 4.7579 4.7579 Å, 90.00 90.00 90.00°
Each line ends with the local moment (μB).
Positions (direct):
P 0.5000 0.0000 0.0000  -0.01
Fe 0.5000 0.5000 0.5000  3.56
S 0.0000 0.0000 0.5000  0.02
S 0.0000 0.5000 0.0000  0.02
Ir 0.0000 0.0000 0.0000  -0.05

=====

7.
Material: FeIr2Pb
Method: DFT, SCAN
State: PBEsol geometry

Total magnetization ... 3.5 μB per formula unit
Space group ... C2/m (12)
DFT formation energy ... 37 kJ per mole of atoms
Electronic total energy ... -58.64 eV/atom

Cell: 2.9340 4.6825 4.8956 Å, 100.10 90.00 108.26°
Each line ends with the local moment (μB).
Positions (direct):
Ir 0.7610 0.5220 0.7807  0.21
Ir 0.2390 0.4780 0.2193  0.21
Pb 0.0000 0.0000 0.5000  -0.05
Fe 0.5000 0.0000 0.0000  3.21

=====

8.
Material: FeIr2Pb
Method: DFT, SCAN
State: PBEsol geometry

Total magnetization ... 3.9 μB per formula unit
Space group ... P4/mmm (123)
DFT formation energy ... 36 kJ per mole of atoms
Electronic total energy ... -58.66 eV/atom

Cell: 4.0988 4.0988 3.7296 Å, 90.00 90.00 90.00°
Each line ends with the local moment (μB).
Positions (direct):
Fe 0.0000 0.0000 0.5000  3.31
Ir 0.5000 0.0000 0.0000  0.32
Ir 0.0000 0.5000 0.0000  0.32
Pb 0.5000 0.5000 0.5000  -0.03

=====

9.
Material: FeIr4Pb
Method: DFT, SCAN
State: PBEsol geometry

Total magnetization ... 5.3 μB per formula unit
Space group ... F-43m (216)
DFT formation energy ... 51 kJ per mole of atoms
Electronic total energy ... -62.52 eV/atom

Cell: 5.2112 5.2112 5.2112 Å, 60.00 60.00 60.00°
Each line ends with the local moment (μB).
Positions (direct):
Fe 0.0000 0.0000 0.0000  3.59
Ir 0.8762 0.3746 0.3746  0.44
Ir 0.3746 0.3746 0.8762  0.44
Ir 0.3746 0.3746 0.3746  0.44
Ir 0.3746 0.8762 0.3746  0.44
Pb 0.7500 0.7500 0.7500  0.05

=====

10.
Material: Fe2IrPb
Method: DFT, SCAN
State: PBEsol geometry

Total magnetization ... 6.6 μB per formula unit
Space group ... R-3m (166)
DFT formation energy ... 52 kJ per mole of atoms
Electronic total energy ... -45.24 eV/atom

Cell: 2.9008 2.9008 8.7442 Å, 80.45 80.45 60.00°
Each line ends with the local moment (μB).
Positions (direct):
Pb 0.0000 0.0000 0.0000  -0.01
Fe 0.7566 0.7566 0.7301  3.08
Fe 0.2434 0.2434 0.2699  3.08
Ir 0.5000 0.5000 0.5000  0.55

=====

11.
Material: FeIr2Pb
Method: DFT, SCAN
State: PBEsol geometry

Total magnetization ... 4.1 μB per formula unit
Space group ... P4/mmm (123)
DFT formation energy ... 30 kJ per mole of atoms
Electronic total energy ... -58.72 eV/atom

Cell: 2.9938 2.9938 7.0766 Å, 90.00 90.00 90.00°
Each line ends with the local moment (μB).
Positions (direct):
Fe 0.5000 0.5000 0.5000  3.36
Ir 0.0000 0.0000 0.2918  0.39
Ir 0.0000 0.0000 0.7082  0.39
Pb 0.5000 0.5000 0.0000  -0.03

=====

12.
Material: ZrFe2IrPd
Method: DFT, SCAN
State: PBEsol geometry

Total magnetization ... 6.6 μB per formula unit
Space group ... P4/mmm (123)
DFT formation energy ... 100 kJ per mole of atoms
Electronic total energy ... -33.13 eV/atom

Cell: 4.4174 4.4174 4.8392 Å, 90.00 90.00 90.00°
Each line ends with the local moment (μB).
Positions (direct):
Zr 0.0000 0.0000 0.5000  -0.33
Fe 0.0000 0.5000 0.0000  3.33
Fe 0.5000 0.0000 0.0000  3.33
Ir 0.5000 0.5000 0.5000  0.41
Pd 0.0000 0.0000 0.0000  0.15

=====

13.
Material: FeIrPt2
Method: DFT, SCAN
State: PBEsol geometry

Total magnetization ... 4.1 μB per formula unit
Space group ... Cmmm (65)
DFT formation energy ... -21 kJ per mole of atoms
Relative energy among the computed polymorphs ... 0.025 eV/atom
Electronic total energy ... -57.63 eV/atom

Cell: 2.7117 4.7013 4.7013 Å, 110.26 90.00 90.00°
Each line ends with the local moment (μB).
Positions (direct):
Fe 0.5000 0.5000 0.5000  3.39
Ir 0.5000 0.0000 0.0000  0.30
Pt 0.0000 0.5000 0.0000  0.26
Pt 0.0000 0.0000 0.5000  0.26

=====

14.
Material: FeIr2Pt
Method: DFT, SCAN
State: PBEsol geometry

Total magnetization ... 3.6 μB per formula unit
Space group ... Cmmm (65)
DFT formation energy ... 7 kJ per mole of atoms
Electronic total energy ... -57.56 eV/atom

Cell: 2.6753 2.6753 9.0377 Å, 90.00 90.00 119.57°
Each line ends with the local moment (μB).
Positions (direct):
Pt 0.5000 0.5000 0.5000  -0.07
Ir 0.0000 0.0000 0.7666  0.30
Ir 0.0000 0.0000 0.2334  0.30
Fe 0.5000 0.5000 0.0000  3.10

=====

15.
Material: FeIr2Pt
Method: DFT, SCAN
State: PBEsol geometry

Total magnetization ... 2.9 μB per formula unit
Space group ... Pmmm (47)
DFT formation energy ... -6 kJ per mole of atoms
Electronic total energy ... -57.69 eV/atom

Cell: 2.6971 3.7260 5.4215 Å, 90.00 90.00 90.00°
Each line ends with the local moment (μB).
Positions (direct):
Fe 0.5000 0.5000 0.5000  3.04
Ir 0.0000 0.0000 0.7380  0.00
Ir 0.0000 0.0000 0.2620  0.00
Pt 0.5000 0.5000 0.0000  -0.08

=====

16.
Material: FeIrPt2
Method: DFT, SCAN
State: PBEsol geometry

Total magnetization ... 3.0 μB per formula unit
Space group ... P4/mmm (123)
DFT formation energy ... -12 kJ per mole of atoms
Relative energy among the computed polymorphs ... 0.121 eV/atom
Electronic total energy ... -57.53 eV/atom

Cell: 2.7086 2.7086 7.5902 Å, 90.00 90.00 90.00°
Each line ends with the local moment (μB).
Positions (direct):
Fe 0.5000 0.5000 0.0000  3.24
Ir 0.5000 0.5000 0.5000  -0.49
Pt 0.0000 0.0000 0.2385  0.13
Pt 0.0000 0.0000 0.7615  0.13

=====

17.
Material: FeIr2Pt
Method: DFT, SCAN
State: PBEsol geometry

Total magnetization ... 4.0 μB per formula unit
Space group ... P2/m (10)
DFT formation energy ... -16 kJ per mole of atoms
Electronic total energy ... -57.80 eV/atom

Cell: 2.7003 4.6528 4.6673 Å, 109.61 90.00 90.00°
Each line ends with the local moment (μB).
Positions (direct):
Pt 0.5000 0.5000 0.0000  0.20
Fe 0.0000 0.5000 0.5000  3.38
Ir 0.0000 0.0000 0.0000  0.20
Ir 0.5000 0.0000 0.5000  0.32

=====

18.
Material: FeIrPt2
Method: DFT, SCAN
State: PBEsol geometry

Total magnetization ... 3.8 μB per formula unit
Space group ... Cm (8)
DFT formation energy ... -15 kJ per mole of atoms
Relative energy among the computed polymorphs ... 0.087 eV/atom
Electronic total energy ... -57.56 eV/atom

Cell: 2.7035 4.6876 4.6985 Å, 100.36 90.00 106.76°
Each line ends with the local moment (μB).
Positions (direct):
Pt 0.0029 0.0059 0.0083  0.16
Pt 0.2436 0.4872 0.7398  0.20
Ir 0.7566 0.5133 0.2527  0.22
Fe 0.4968 0.9936 0.4992  3.32

=====

19.
Material: FeIr2Pt
Method: DFT, SCAN
State: PBEsol geometry

Total magnetization ... 3.6 μB per formula unit
Space group ... Immm (71)
DFT formation energy ... 3 kJ per mole of atoms
Electronic total energy ... -57.60 eV/atom

Cell: 2.6898 4.5065 5.2921 Å, 115.20 104.72 90.00°
Each line ends with the local moment (μB).
Positions (direct):
Fe 0.0000 0.5000 0.0000  3.12
Pt 0.5000 0.0000 0.0000  0.13
Ir 0.2724 0.2724 0.5448  0.17
Ir 0.7276 0.7276 0.4552  0.17

=====

20.
Material: Fe2IrPt
Method: DFT, SCAN
State: PBEsol geometry

Total magnetization ... 6.4 μB per formula unit
Space group ... Cm (8)
DFT formation energy ... -17 kJ per mole of atoms
Electronic total energy ... -44.57 eV/atom

Cell: 2.6665 4.5256 4.5732 Å, 101.34 106.95 90.00°
Each line ends with the local moment (μB).
Positions (direct):
Fe 0.0053 0.9967 0.0106  3.04
Fe 0.7469 0.2591 0.4938  3.04
Ir 0.4952 0.4784 0.9903  0.18
Pt 0.2526 0.7658 0.5053  0.24

=====

21.
Material: FeIrPt2
Method: DFT, SCAN
State: PBEsol geometry

Total magnetization ... 3.2 μB per formula unit
Space group ... R3m (160)
DFT formation energy ... -11 kJ per mole of atoms
Relative energy among the computed polymorphs ... 0.133 eV/atom
Electronic total energy ... -57.52 eV/atom

Cell: 2.7071 2.7071 8.9135 Å, 81.27 81.27 60.00°
Each line ends with the local moment (μB).
Positions (direct):
Ir 0.2443 0.2443 0.2671  0.07
Fe 0.5014 0.5014 0.4959  3.05
Pt 0.9986 0.9986 0.0041  -0.13
Pt 0.7557 0.7557 0.7329  0.25

=====

22.
Material: FeIrPt2
Method: DFT, SCAN
State: PBEsol geometry

Total magnetization ... 4.4 μB per formula unit
Space group ... P4/mmm (123)
DFT formation energy ... -24 kJ per mole of atoms
Relative energy among the computed polymorphs ... 0.000 eV/atom
Electronic total energy ... -57.65 eV/atom

Cell: 3.7986 3.7986 3.8927 Å, 90.00 90.00 90.00°
Each line ends with the local moment (μB).
Positions (direct):
Pt 0.5000 0.0000 0.0000  0.24
Pt 0.0000 0.5000 0.0000  0.24
Ir 0.0000 0.0000 0.5000  0.46
Fe 0.5000 0.5000 0.5000  3.50

=====

23.
Material: FeIr2Pt
Method: DFT, SCAN
State: PBEsol geometry

Total magnetization ... 3.3 μB per formula unit
Space group ... Pmm2 (25)
DFT formation energy ... -13 kJ per mole of atoms
Electronic total energy ... -57.76 eV/atom

Cell: 2.6923 3.7905 5.3686 Å, 90.00 90.00 90.00°
Each line ends with the local moment (μB).
Positions (direct):
Ir 0.5000 0.5000 0.2380  -0.04
Ir 0.0000 0.0000 0.0000  0.02
Fe 0.5000 0.5000 0.7544  3.21
Pt 0.0000 0.0000 0.5076  0.15

=====

24.
Material: FeIrPt2
Method: DFT, SCAN
State: PBEsol geometry

Total magnetization ... 3.2 μB per formula unit
Space group ... Fm-3m (225)
DFT formation energy ... 10 kJ per mole of atoms
Relative energy among the computed polymorphs ... 0.352 eV/atom
Electronic total energy ... -57.30 eV/atom

Cell: 4.3262 4.3262 4.3262 Å, 60.00 60.00 60.00°
Each line ends with the local moment (μB).
Positions (direct):
Ir 0.5000 0.5000 0.5000  -0.19
Pt 0.7500 0.7500 0.7500  0.08
Pt 0.2500 0.2500 0.2500  0.08
Fe 0.0000 0.0000 0.0000  3.28

=====

25.
Material: Fe4IrPt
Method: DFT, SCAN
State: PBEsol geometry

Total magnetization ... 12.1 μB per formula unit
Space group ... F-43m (216)
DFT formation energy ... -9 kJ per mole of atoms
Electronic total energy ... -35.73 eV/atom

Cell: 4.6703 4.6703 4.6703 Å, 60.00 60.00 60.00°
Each line ends with the local moment (μB).
Positions (direct):
Fe 0.3750 0.3750 0.3750  2.84
Fe 0.3750 0.8749 0.3750  2.84
Fe 0.8749 0.3750 0.3750  2.84
Fe 0.3750 0.3750 0.8749  2.84
Ir 0.7500 0.7500 0.7500  0.56
Pt 0.0000 0.0000 0.0000  0.34

=====

26.
Material: FeIr2Pt
Method: DFT, SCAN
State: PBEsol geometry

Total magnetization ... 3.6 μB per formula unit
Space group ... I-4m2 (119)
DFT formation energy ... -17 kJ per mole of atoms
Electronic total energy ... -57.81 eV/atom

Cell: 3.8024 3.8024 4.6452 Å, 114.16 114.16 90.00°
Each line ends with the local moment (μB).
Positions (direct):
Pt 0.5000 0.5000 0.0000  0.13
Ir 0.2500 0.7500 0.5000  0.12
Ir 0.0000 0.0000 0.0000  0.12
Fe 0.7500 0.2500 0.5000  3.31

=====

27.
Material: FeIrPt2
Method: DFT, SCAN
State: PBEsol geometry

Total magnetization ... 4.0 μB per formula unit
Space group ... F-43m (216)
DFT formation energy ... 5 kJ per mole of atoms
Relative energy among the computed polymorphs ... 0.301 eV/atom
Electronic total energy ... -57.35 eV/atom

Cell: 4.3210 4.3210 4.3210 Å, 60.00 60.00 60.00°
Each line ends with the local moment (μB).
Positions (direct):
Fe 0.5000 0.5000 0.5000  3.26
Ir 0.7500 0.7500 0.7500  0.60
Pt 0.2500 0.2500 0.2500  0.25
Pt 0.0000 0.0000 0.0000  -0.08

=====

28.
Material: FeIrPt2
Method: DFT, SCAN
State: PBEsol geometry

Total magnetization ... 2.9 μB per formula unit
Space group ... P4mm (99)
DFT formation energy ... -13 kJ per mole of atoms
Relative energy among the computed polymorphs ... 0.116 eV/atom
Electronic total energy ... -57.54 eV/atom

Cell: 2.7030 2.7030 7.5502 Å, 90.00 90.00 90.00°
Each line ends with the local moment (μB).
Positions (direct):
Pt 0.0000 0.0000 0.9937  -0.14
Pt 0.5000 0.5000 0.2693  0.16
Fe 0.0000 0.0000 0.5066  3.04
Ir 0.5000 0.5000 0.7304  -0.12

=====

29.
Material: FeIrPt2
Method: DFT, SCAN
State: PBEsol geometry

Total magnetization ... 3.2 μB per formula unit
Space group ... I-4m2 (119)
DFT formation energy ... -18 kJ per mole of atoms
Relative energy among the computed polymorphs ... 0.065 eV/atom
Electronic total energy ... -57.59 eV/atom

Cell: 3.8460 3.8460 4.6522 Å, 114.42 114.42 90.00°
Each line ends with the local moment (μB).
Positions (direct):
Pt 0.2500 0.7500 0.5000  0.06
Pt 0.0000 0.0000 0.0000  -0.16
Ir 0.7500 0.2500 0.5000  0.01
Fe 0.5000 0.5000 0.0000  3.30

=====

30.
Material: RbFe3Ir
Method: DFT, SCAN
State: PBEsol geometry

Total magnetization ... 9.1 μB per formula unit
Space group ... Pm-3m (221)
DFT formation energy ... 279 kJ per mole of atoms
Electronic total energy ... -26.35 eV/atom

Cell: 4.3777 4.3777 4.3777 Å, 90.00 90.00 90.00°
Each line ends with the local moment (μB).
Positions (direct):
Fe 0.0000 0.5000 0.0000  2.89
Fe 0.5000 0.0000 0.0000  2.89
Fe 0.0000 0.0000 0.5000  2.89
Ir 0.5000 0.5000 0.5000  0.85
Rb 0.0000 0.0000 0.0000  -0.07